A plane-wave DFT calculation with PBE-GGA was carried out for a relaxed structure of La2PrSmEr.

Lattice parameters (Å, degrees): 6.558 6.559 9.042 111.27 90.00 90.00
Fractional positions:
Er 0.250 0.248 0.496
Er 0.750 0.752 0.504
Pr 0.750 0.341 0.682
Pr 0.250 0.659 0.318
La 0.000 0.751 0.000
La 0.000 0.249 0.000
La 0.500 0.249 0.000
La 0.500 0.751 0.000
Sm 0.750 0.158 0.316
Sm 0.250 0.842 0.684

Summary:
magnetization = 0.0 μB/f.u.
electronic total energy = -4.438 eV per atom
formation energy = 0.3449 eV/atom

***

A plane-wave DFT calculation with PBE-GGA was carried out for a relaxed structure of LiAcLuTl.

Lattice parameters (Å, degrees): 5.520 5.520 5.520 60.00 60.00 60.00
Fractional positions:
Lu 0.750 0.750 0.750
Tl 0.500 0.500 0.500
Ac 0.250 0.250 0.250
Li 0.000 0.000 0.000

Summary:
magnetization = 0.0 μB/f.u.
electronic total energy = -3.346 eV per atom
formation energy = -0.1183 eV/atom

***

A plane-wave DFT calculation with PBE-GGA was carried out for a relaxed structure of Cs2MgI6N.

Lattice parameters (Å, degrees): 7.987 7.987 8.550 62.15 62.15 90.00
Site moments in Bohr magnetons follow the coordinates.
Fractional positions:
I 0.723 0.723 0.000  0.01
I 0.213 0.213 0.574  0.01
I 0.723 0.277 0.000  0.01
I 0.277 0.277 0.000  0.01
I 0.277 0.723 0.000  0.01
I 0.787 0.787 0.426  0.01
Cs 0.250 0.750 0.500  0.00
Cs 0.750 0.250 0.500  0.00
Mg 0.000 0.000 0.000  0.00
N 0.500 0.500 0.000  0.61

Summary:
formation energy without anion corrections = -441 meV per atom
magnetization = 1.0 μB/f.u.
electronic total energy = -2.534 eV per atom

***

A plane-wave DFT calculation with PBE-GGA was carried out for a relaxed structure of RbCo2Se2.

Lattice parameters (Å, degrees): 4.504 4.504 6.571 69.96 69.96 90.00
Fractional positions:
Se 0.750 0.250 0.500
Se 0.250 0.750 0.500
Rb 0.000 0.000 0.000
Co 0.315 0.315 0.371
Co 0.685 0.685 0.629

Summary:
formation energy without anion corrections = -46 meV per atom
magnetization = 0.0 μB/f.u.
energy relative to the lowest polymorph listed for this composition = 429 meV per atom
electronic total energy = -4.475 eV per atom

***

A plane-wave DFT calculation with PBE-GGA was carried out for a relaxed structure of Sn2PbCl2O2.

Lattice parameters (Å, degrees): 3.823 7.170 7.162 74.41 74.52 74.54
Fractional positions:
O 0.789 0.352 0.070
O 0.211 0.648 0.930
Sn 0.172 0.442 0.215
Sn 0.828 0.558 0.785
Pb 0.000 0.000 0.000
Cl 0.439 0.821 0.301
Cl 0.561 0.179 0.699

Summary:
formation energy without anion corrections = -1146 meV per atom
magnetization = 0.0 μB/f.u.
electronic total energy = -4.764 eV per atom

***

A plane-wave DFT calculation with PBE-GGA was carried out for a relaxed structure of Li2LaY.

Lattice parameters (Å, degrees): 3.414 3.414 10.804 90.00 90.00 112.13
Fractional positions:
Li 0.500 0.500 0.234
Li 0.000 0.000 0.025
Y 0.000 0.000 0.481
La 0.500 0.500 0.759

Summary:
magnetization = 0.0 μB/f.u.
energy relative to the lowest polymorph listed for this composition = 58 meV per atom
electronic total energy = -3.683 eV per atom
formation energy = 0.1218 eV/atom

***

A plane-wave DFT calculation with PBE-GGA was carried out for a relaxed structure of Cs2TaNiBr6.

Lattice parameters (Å, degrees): 7.318 7.318 7.941 62.56 62.56 90.00
Site moments in Bohr magnetons follow the coordinates.
Fractional positions:
Br 0.744 0.744 0.000  -0.01
Br 0.744 0.256 0.000  -0.02
Br 0.256 0.256 0.000  -0.01
Br 0.256 0.744 0.000  -0.02
Br 0.219 0.219 0.561  0.01
Br 0.781 0.781 0.439  0.01
Ni 0.500 0.500 0.000  -0.59
Cs 0.750 0.250 0.500  0.00
Cs 0.250 0.750 0.500  0.00
Ta 0.000 0.000 0.000  1.13

Summary:
formation energy without anion corrections = -895 meV per atom
magnetization = 1.0 μB/f.u.
electronic total energy = -3.833 eV per atom

***

A plane-wave DFT calculation with PBE-GGA was carried out for a relaxed structure of KFeOs2.

Lattice parameters (Å, degrees): 4.424 4.424 4.424 60.00 60.00 60.00
Fractional positions:
K 0.000 0.000 0.000
Fe 0.500 0.500 0.500
Os 0.250 0.250 0.250
Os 0.750 0.750 0.750

Summary:
magnetization = 0.0 μB/f.u.
energy relative to the lowest polymorph listed for this composition = 1195 meV per atom
electronic total energy = -6.050 eV per atom
formation energy = 1.9548 eV/atom

***

A plane-wave DFT calculation with PBE-GGA was carried out for a relaxed structure of ZnInGa2Ir.

Lattice parameters (Å, degrees): 4.815 4.815 4.961 90.00 90.00 90.00
Fractional positions:
Ir 0.000 0.000 0.000
Zn 0.000 0.000 0.500
Ga 0.500 0.000 0.000
Ga 0.000 0.500 0.000
In 0.500 0.500 0.500

Summary:
magnetization = 0.0 μB/f.u.
electronic total energy = -3.883 eV per atom
formation energy = -0.0975 eV/atom

***

A plane-wave DFT calculation with PBE-GGA was carried out for a relaxed structure of LiTeOF2.

Lattice parameters (Å, degrees): 3.595 3.595 4.210 90.00 90.00 90.00
Fractional positions:
O 0.000 0.000 0.500
Li 0.000 0.000 0.000
Te 0.500 0.500 0.500
F 0.000 0.500 0.000
F 0.500 0.000 0.000

Summary:
formation energy without anion corrections = -1364 meV per atom
magnetization = 0.0 μB/f.u.
energy relative to the lowest polymorph listed for this composition = 0 meV per atom
electronic total energy = -4.115 eV per atom

***

A plane-wave DFT calculation with PBE-GGA was carried out for a relaxed structure of Nb2AlHPd.

Lattice parameters (Å, degrees): 3.952 3.952 4.443 90.00 90.00 90.00
Fractional positions:
Nb 0.500 0.000 0.000
Nb 0.000 0.500 0.000
Pd 0.000 0.000 0.500
H 0.000 0.000 0.000
Al 0.500 0.500 0.500

Summary:
magnetization = 0.0 μB/f.u.
energy relative to the lowest polymorph listed for this composition = 0 meV per atom
electronic total energy = -6.822 eV per atom

***

A plane-wave DFT calculation with PBE-GGA was carried out for a relaxed structure of BaTc2Mo.

Lattice parameters (Å, degrees): 4.714 4.714 4.714 60.00 60.00 60.00
Fractional positions:
Ba 0.500 0.500 0.500
Tc 0.000 0.000 0.000
Tc 0.750 0.750 0.750
Mo 0.250 0.250 0.250

Summary:
magnetization = 0.0 μB/f.u.
energy relative to the lowest polymorph listed for this composition = 581 meV per atom
electronic total energy = -7.176 eV per atom
formation energy = 1.1950 eV/atom

***

Repeat the first record exactly.
A plane-wave DFT calculation with PBE-GGA was carried out for a relaxed structure of La2PrSmEr.

Lattice parameters (Å, degrees): 6.558 6.559 9.042 111.27 90.00 90.00
Fractional positions:
Er 0.250 0.248 0.496
Er 0.750 0.752 0.504
Pr 0.750 0.341 0.682
Pr 0.250 0.659 0.318
La 0.000 0.751 0.000
La 0.000 0.249 0.000
La 0.500 0.249 0.000
La 0.500 0.751 0.000
Sm 0.750 0.158 0.316
Sm 0.250 0.842 0.684

Summary:
magnetization = 0.0 μB/f.u.
electronic total energy = -4.438 eV per atom
formation energy = 0.3449 eV/atom